1.
Density functional theory data (GGA-PBE) for a geometry-optimized Al2GaH8 structure.

Cell lengths 3.9696, 5.0696, 5.0696 Å; angles 73.46, 98.21, 98.21 degrees
Positions (direct):
H 0.2566 0.8963 0.3398
H 0.2500 0.4012 0.4012
Ga 0.0000 0.0000 0.0000
H 0.2452 0.8414 0.8414
H 0.7500 0.5988 0.5988
Al 0.3249 0.6387 0.6387
H 0.7434 0.6602 0.1037
H 0.2566 0.3398 0.8963
H 0.7548 0.1586 0.1586
H 0.7434 0.1037 0.6602
Al 0.6751 0.3613 0.3613

## Properties
- density (Mg/m³) = 2.3
- SG = C2/m, No. 12
- total magnetization (μB per formula unit) = 0.0
- E_tot (eV for the cell shown) = -35.677

=====

2.
Density functional theory data (GGA-PBE) for a geometry-optimized Al3GaH structure.

Cell lengths 4.9241, 4.9241, 4.9241 Å; angles 90.00, 90.00, 90.00 degrees
Positions (direct):
Ga 0.0000 0.0000 0.0000
Al 0.0000 0.0000 0.5000
Al 0.5000 0.0000 0.0000
Al 0.0000 0.5000 0.0000
H 0.5000 0.5000 0.5000

## Properties
- density (Mg/m³) = 2.1
- SG = Pm-3m, No. 221
- total magnetization (μB per formula unit) = 0.0
- energy relative to the lowest polymorph listed for this composition (eV/f.u.) = 4.09

=====

3.
Density functional theory data (GGA-PBE) for a geometry-optimized AlGa3H structure.

Cell lengths 5.0007, 5.0007, 5.0007 Å; angles 90.00, 90.00, 90.00 degrees
Positions (direct):
Ga 0.0000 0.0000 0.5000
Ga 0.5000 0.0000 0.0000
H 0.5000 0.5000 0.5000
Al 0.0000 0.0000 0.0000
Ga 0.0000 0.5000 0.0000

## Properties
- density (Mg/m³) = 3.1
- SG = Pm-3m, No. 221
- total magnetization (μB per formula unit) = 0.0
- energy relative to the lowest polymorph listed for this composition (eV/f.u.) = 2.56

=====

4.
Density functional theory data (GGA-PBE) for a geometry-optimized AlGa3H structure.

Cell lengths 4.2697, 4.2697, 4.2697 Å; angles 90.00, 90.00, 90.00 degrees
Positions (direct):
Ga 0.5000 0.0000 0.0000
H 0.0000 0.0000 0.0000
Al 0.5000 0.5000 0.5000
Ga 0.0000 0.0000 0.5000
Ga 0.0000 0.5000 0.0000

## Properties
- density (Mg/m³) = 5.1
- SG = Pm-3m, No. 221
- total magnetization (μB per formula unit) = 0.0
- energy relative to the lowest polymorph listed for this composition (eV/f.u.) = 0.00

=====

5.
Density functional theory data (GGA-PBE) for a geometry-optimized AlGaH structure.

Cell lengths 4.8908, 2.8220, 14.4343 Å; angles 79.88, 80.25, 29.94 degrees
Positions (direct):
Al 0.7721 0.0437 0.4122
H 0.9782 0.0696 0.9740
Ga 0.6813 0.8716 0.7657
Ga 0.3187 0.1284 0.2343
H 0.0218 0.9304 0.0260
Al 0.2279 0.9563 0.5878

## Properties
- density (Mg/m³) = 3.3
- SG = C2/m, No. 12
- total magnetization (μB per formula unit) = 0.0
- energy relative to the lowest polymorph listed for this composition (eV/f.u.) = 0.00

=====

6.
Density functional theory data (GGA-PBE) for a geometry-optimized AlGaH structure.

Cell lengths 2.7527, 3.1813, 10.1447 Å; angles 89.75, 80.78, 90.02 degrees
Positions (direct):
Al 0.4235 0.1613 0.8370
H 0.9909 0.1629 0.7208
Al 0.7933 0.1575 0.0745
Ga 0.1075 0.1528 0.5042
Ga 0.1766 0.6542 0.2654
H 0.4475 0.6619 0.7908

## Properties
- density (Mg/m³) = 3.7
- SG = P1, No. 1
- total magnetization (μB per formula unit) = 0.0
- energy relative to the lowest polymorph listed for this composition (eV/f.u.) = 0.13

=====

7.
Density functional theory data (GGA-PBE) for a geometry-optimized AlGaH structure.

Cell lengths 3.7172, 3.7172, 4.7236 Å; angles 113.17, 113.17, 90.00 degrees
Positions (direct):
Ga 0.0638 0.0638 0.1277
H 0.2839 0.2839 0.5678
Al 0.5022 0.5022 0.0045

## Properties
- density (Mg/m³) = 3.0
- SG = I4mm, No. 107
- total magnetization (μB per formula unit) = 0.0
- energy relative to the lowest polymorph listed for this composition (eV/f.u.) = 0.40

=====

8.
Density functional theory data (GGA-PBE) for a geometry-optimized AlGaH structure.

Cell lengths 5.4300, 3.0037, 11.0178 Å; angles 90.00, 117.51, 90.00 degrees
Positions (direct):
Al 0.2745 0.5000 0.6461
Al 0.7255 0.5000 0.3539
H 0.7890 0.5000 0.9463
Ga 0.7676 0.5000 0.6361
H 0.2110 0.0000 0.5537
Al 0.2745 0.0000 0.1461
Ga 0.2324 0.5000 0.3639
H 0.2110 0.5000 0.0537
H 0.7890 0.0000 0.4463
Al 0.7255 0.0000 0.8539
Ga 0.2324 0.0000 0.8639
Ga 0.7676 0.0000 0.1361

## Properties
- density (Mg/m³) = 4.1
- SG = C2/m, No. 12
- total magnetization (μB per formula unit) = 0.0
- energy relative to the lowest polymorph listed for this composition (eV/f.u.) = 0.16

=====

Repeat the seventh record exactly.
Density functional theory data (GGA-PBE) for a geometry-optimized AlGaH structure.

Cell lengths 3.7172, 3.7172, 4.7236 Å; angles 113.17, 113.17, 90.00 degrees
Positions (direct):
Ga 0.0638 0.0638 0.1277
H 0.2839 0.2839 0.5678
Al 0.5022 0.5022 0.0045

## Properties
- density (Mg/m³) = 3.0
- SG = I4mm, No. 107
- total magnetization (μB per formula unit) = 0.0
- energy relative to the lowest polymorph listed for this composition (eV/f.u.) = 0.40

=====

What did the third record say?
Density functional theory data (GGA-PBE) for a geometry-optimized AlGa3H structure.

Cell lengths 5.0007, 5.0007, 5.0007 Å; angles 90.00, 90.00, 90.00 degrees
Positions (direct):
Ga 0.0000 0.0000 0.5000
Ga 0.5000 0.0000 0.0000
H 0.5000 0.5000 0.5000
Al 0.0000 0.0000 0.0000
Ga 0.0000 0.5000 0.0000

## Properties
- density (Mg/m³) = 3.1
- SG = Pm-3m, No. 221
- total magnetization (μB per formula unit) = 0.0
- energy relative to the lowest polymorph listed for this composition (eV/f.u.) = 2.56